Entry 1:
An optimized crystal structure of La3Tm2Tl3, computed with PBE.

Summary:
The formation energy is -0.314 eV/atom. The energy above the most stable polymorph in this dataset comes out at 0.000 eV per atom.

a = 6.7220 Å, b = 9.3359 Å, c = 9.3359 Å
α = 120.00°, β = 90.00°, γ = 90.00°
With the nearest neighbours (Å) after each atom.
Fractional coordinates of all 16 atoms:
Tl (0.2500, 0.0000, 0.4045)  3 La 3.28-3.29, 4 Tm 3.30
Tl (0.7500, 0.0000, 0.5955)  3 La 3.28-3.29, 4 Tm 3.30
La (0.2500, 0.7556, 0.0000)  3 Tl 3.28-3.29
Tl (0.2500, 0.4045, 0.0000)  3 La 3.28-3.29, 4 Tm 3.30
Tm (0.0000, 0.6667, 0.3333)  6 Tl 3.30, 2 Tm 3.36
Tm (0.0000, 0.3333, 0.6667)  6 Tl 3.30, 2 Tm 3.36
Tm (0.5000, 0.6667, 0.3333)  6 Tl 3.30, 2 Tm 3.36
Tm (0.5000, 0.3333, 0.6667)  6 Tl 3.30, 2 Tm 3.36
Tl (0.7500, 0.4045, 0.4045)  3 La 3.28-3.29, 4 Tm 3.30
La (0.7500, 0.7556, 0.7556)  3 Tl 3.28-3.29
La (0.7500, 0.0000, 0.2444)  3 Tl 3.28-3.29
Tl (0.7500, 0.5955, 0.0000)  3 La 3.28-3.29, 4 Tm 3.30
La (0.2500, 0.0000, 0.7556)  3 Tl 3.28-3.29
Tl (0.2500, 0.5955, 0.5955)  3 La 3.28-3.29, 4 Tm 3.30
La (0.2500, 0.2444, 0.2444)  3 Tl 3.28-3.29
La (0.7500, 0.2444, 0.0000)  3 Tl 3.28-3.29

=====

Entry 2:
An optimized crystal structure of La3Tm2Tl4, computed with PBE.

Summary:
The formation energy is -0.309 eV/atom. The energy above the most stable polymorph in this dataset comes out at 0.000 eV per atom.

a = 5.4339 Å, b = 5.4371 Å, c = 10.5748 Å
α = 89.93°, β = 90.00°, γ = 60.02°
With the nearest neighbours (Å) after each atom.
Fractional coordinates of all 9 atoms:
Tl (0.6669, 0.6662, 0.8976)  4 La 3.32-3.37, 4 Tm 3.37-3.40
Tl (0.0006, 0.9988, 0.6607)  4 La 3.25-3.59, 3 Tm 3.38-3.39, 1 Tl 3.40
La (0.6672, 0.6656, 0.5793)  4 Tl 3.25-3.37, 3 La 3.55-3.57
La (0.3328, 0.3344, 0.4207)  4 Tl 3.25-3.37, 3 La 3.55-3.57
Tm (0.6662, 0.6677, 0.2191)  7 Tl 3.37-3.40
Tl (0.9994, 0.0012, 0.3393)  4 La 3.25-3.59, 3 Tm 3.38-3.39, 1 Tl 3.40
La (0.0000, 0.0000, 0.0000)  8 Tl 3.32-3.59
Tm (0.3338, 0.3323, 0.7809)  7 Tl 3.37-3.40
Tl (0.3331, 0.3338, 0.1024)  4 La 3.32-3.37, 4 Tm 3.37-3.40

=====

Entry 3:
An optimized crystal structure of LaTm12Tl3, computed with PBE.

Summary:
The formation energy is -0.098 eV/atom.

a = 4.8127 Å, b = 4.8127 Å, c = 19.7605 Å
α = 90.00°, β = 90.00°, γ = 90.00°
With the nearest neighbours (Å) after each atom.
Fractional coordinates of all 16 atoms:
Tm (0.5000, 0.5000, 0.0000)  4 La 3.40, 8 Tm 3.57
Tm (0.0000, 0.5000, 0.1336)  8 Tm 3.40-3.57, 2 Tl 3.44, 2 La 3.57
Tm (0.0000, 0.5000, 0.8664)  8 Tm 3.40-3.57, 2 Tl 3.44, 2 La 3.57
Tm (0.5000, 0.0000, 0.1336)  8 Tm 3.40-3.57, 2 Tl 3.44, 2 La 3.57
Tl (0.0000, 0.0000, 0.5000)  12 Tm 3.40
Tm (0.5000, 0.5000, 0.2578)  8 Tm 3.39-3.44, 4 Tl 3.40
Tm (0.0000, 0.5000, 0.6215)  4 Tl 3.38-3.40, 8 Tm 3.39-3.40
Tm (0.5000, 0.0000, 0.8664)  8 Tm 3.40-3.57, 2 Tl 3.44, 2 La 3.57
Tm (0.5000, 0.5000, 0.7422)  8 Tm 3.39-3.44, 4 Tl 3.40
Tm (0.5000, 0.0000, 0.3785)  4 Tl 3.38-3.40, 8 Tm 3.39-3.40
Tl (0.0000, 0.0000, 0.2583)  12 Tm 3.38-3.44
Tm (0.5000, 0.5000, 0.5000)  8 Tm 3.40, 4 Tl 3.40
Tl (0.0000, 0.0000, 0.7417)  12 Tm 3.38-3.44
Tm (0.0000, 0.5000, 0.3785)  4 Tl 3.38-3.40, 8 Tm 3.39-3.40
La (0.0000, 0.0000, 0.0000)  12 Tm 3.40-3.57
Tm (0.5000, 0.0000, 0.6215)  4 Tl 3.38-3.40, 8 Tm 3.39-3.40

=====

no.,total energy (eV per atom)
1,-4.17
2,-4.00
3,-4.20